Below is a relaxed RbMg2AgPt crystal, with properties calculated at the PBEsol level. Values from VASP.

energy of formation: 0.6617 eV per atom
symmetry: No. 123
density: 5.0 g/cm3
volume: 29.31 Å³ per atom

Geometry as Quantum ESPRESSO input:
```
&SYSTEM
  ibrav = 0, nat = 5, ntyp = 4
/
ATOMIC_SPECIES
Mg 24.30 Mg.upf
Rb 85.47 Rb.upf
Ag 107.87 Ag.upf
Pt 195.08 Pt.upf
CELL_PARAMETERS angstrom
5.052 0.000 0.000
0.000 5.052 0.000
0.000 0.000 5.743
ATOMIC_POSITIONS angstrom
Mg 0.000 2.526 0.000
Mg 2.526 0.000 0.000
Rb 0.000 0.000 2.871
Ag 0.000 0.000 0.000
Pt 2.526 2.526 2.871
```


Below is a relaxed RbMgAg2 crystal, with properties calculated at the PBEsol level. Values from VASP.

energy of formation: 0.3248 eV per atom
symmetry: No. 225
density: 5.2 g/cm3
volume: 25.75 Å³ per atom

Geometry as Quantum ESPRESSO input:
```
&SYSTEM
  ibrav = 0, nat = 4, ntyp = 3
/
ATOMIC_SPECIES
Mg 24.30 Mg.upf
Rb 85.47 Rb.upf
Ag 107.87 Ag.upf
CELL_PARAMETERS angstrom
-0.231 2.482 -4.634
3.859 -0.635 -3.520
-0.883 -2.735 -4.408
ATOMIC_POSITIONS angstrom
Mg 0.000 0.000 0.000
Rb 1.372 -0.444 -6.280
Ag 0.686 -0.222 -3.140
Ag 2.059 -0.666 -9.421
```


Below is a relaxed MgReAg crystal, with properties calculated at the PBEsol level. Values from VASP.

energy of formation: 0.3298 eV per atom
symmetry: No. 107
excess energy over the best structure of this formula in the dataset: 15 meV/atom
density: 11.1 g/cm3
volume: 15.87 Å³ per atom

Geometry as Quantum ESPRESSO input:
```
&SYSTEM
  ibrav = 0, nat = 3, ntyp = 3
/
ATOMIC_SPECIES
Ag 107.87 Ag.upf
Mg 24.30 Mg.upf
Re 186.21 Re.upf
CELL_PARAMETERS angstrom
-1.791 1.822 -0.826
0.532 -0.636 -2.554
-4.115 -5.186 1.847
ATOMIC_POSITIONS angstrom
Ag -5.369 -3.996 -1.534
Mg -2.232 -0.959 -1.637
Re -3.148 -3.048 0.104
```


Below is a relaxed Mg3ReAg crystal, with properties calculated at the PBEsol level. Values from VASP.

energy of formation: 1.1858 eV per atom
symmetry: No. 221
density: 4.9 g/cm3
volume: 25.05 Å³ per atom

Geometry as Quantum ESPRESSO input:
```
&SYSTEM
  ibrav = 0, nat = 5, ntyp = 3
/
ATOMIC_SPECIES
Re 186.21 Re.upf
Mg 24.30 Mg.upf
Ag 107.87 Ag.upf
CELL_PARAMETERS angstrom
5.004 0.000 0.000
0.000 5.004 0.000
0.000 0.000 5.004
ATOMIC_POSITIONS angstrom
Re 0.000 0.000 0.000
Mg 0.000 2.502 0.000
Mg 0.000 0.000 2.502
Mg 2.502 0.000 0.000
Ag 2.502 2.502 2.502
```


Below is a relaxed MgReAg2 crystal, with properties calculated at the PBEsol level. Values from VASP.

energy of formation: 0.4945 eV per atom
symmetry: No. 47
density: 10.9 g/cm3
volume: 16.28 Å³ per atom

Geometry as Quantum ESPRESSO input:
```
&SYSTEM
  ibrav = 0, nat = 4, ntyp = 3
/
ATOMIC_SPECIES
Ag 107.87 Ag.upf
Mg 24.30 Mg.upf
Re 186.21 Re.upf
CELL_PARAMETERS angstrom
-0.606 1.289 2.348
-0.872 -4.281 2.125
4.682 -0.278 1.360
ATOMIC_POSITIONS angstrom
Ag 0.000 0.000 0.000
Ag -0.739 -1.496 2.236
Mg 2.038 0.505 1.854
Re 1.905 -2.280 1.742
```


Below is a relaxed Mg2ReAg crystal, with properties calculated at the PBEsol level. Values from VASP.

energy of formation: 0.3751 eV per atom
symmetry: No. 25
excess energy over the best structure of this formula in the dataset: 74 meV/atom
density: 8.5 g/cm3
volume: 16.70 Å³ per atom

Geometry as Quantum ESPRESSO input:
```
&SYSTEM
  ibrav = 0, nat = 4, ntyp = 3
/
ATOMIC_SPECIES
Ag 107.87 Ag.upf
Mg 24.30 Mg.upf
Re 186.21 Re.upf
CELL_PARAMETERS angstrom
2.729 0.000 0.000
0.000 4.416 0.000
0.000 0.000 5.544
ATOMIC_POSITIONS angstrom
Ag 1.364 2.208 4.169
Mg 0.000 0.000 5.463
Mg 1.364 2.208 1.526
Re 0.000 0.000 2.702
```


Below is a relaxed MgReAg crystal, with properties calculated at the PBEsol level. Values from VASP.

energy of formation: 0.3151 eV per atom
symmetry: No. 156
excess energy over the best structure of this formula in the dataset: 0 meV/atom
density: 11.1 g/cm3
volume: 15.88 Å³ per atom

Geometry as Quantum ESPRESSO input:
```
&SYSTEM
  ibrav = 0, nat = 3, ntyp = 3
/
ATOMIC_SPECIES
Ag 107.87 Ag.upf
Mg 24.30 Mg.upf
Re 186.21 Re.upf
CELL_PARAMETERS angstrom
-2.727 0.538 -0.198
0.910 -1.960 1.761
0.590 4.867 5.113
ATOMIC_POSITIONS angstrom
Ag 0.589 4.862 5.107
Mg 0.089 2.107 4.505
Re -1.317 1.344 2.176
```


Below is a relaxed MgReAg crystal, with properties calculated at the PBEsol level. Values from VASP.

energy of formation: 1.2596 eV per atom
symmetry: No. 216
excess energy over the best structure of this formula in the dataset: 944 meV/atom
density: 9.2 g/cm3
volume: 19.25 Å³ per atom

Geometry as Quantum ESPRESSO input:
```
&SYSTEM
  ibrav = 0, nat = 3, ntyp = 3
/
ATOMIC_SPECIES
Ag 107.87 Ag.upf
Mg 24.30 Mg.upf
Re 186.21 Re.upf
CELL_PARAMETERS angstrom
4.338 0.000 0.000
2.169 3.757 0.000
2.169 1.252 3.542
ATOMIC_POSITIONS angstrom
Ag 2.169 1.252 0.886
Mg 0.000 0.000 0.000
Re 4.338 2.505 1.771
```


Below is a relaxed MgReAg2 crystal, with properties calculated at the PBEsol level. Values from VASP.

energy of formation: 0.5050 eV per atom
symmetry: No. 71
density: 10.7 g/cm3
volume: 16.47 Å³ per atom

Geometry as Quantum ESPRESSO input:
```
&SYSTEM
  ibrav = 0, nat = 4, ntyp = 3
/
ATOMIC_SPECIES
Ag 107.87 Ag.upf
Mg 24.30 Mg.upf
Re 186.21 Re.upf
CELL_PARAMETERS angstrom
2.707 0.000 0.000
0.000 4.902 0.000
-1.354 -2.451 4.963
ATOMIC_POSITIONS angstrom
Ag 1.354 2.451 2.461
Ag 0.000 0.000 2.502
Mg 1.354 0.000 0.000
Re 0.000 2.451 0.000
```


Below is a relaxed Mg2ReAg crystal, with properties calculated at the PBEsol level. Values from VASP.

energy of formation: 0.5107 eV per atom
symmetry: No. 119
excess energy over the best structure of this formula in the dataset: 210 meV/atom
density: 8.6 g/cm3
volume: 16.51 Å³ per atom

Geometry as Quantum ESPRESSO input:
```
&SYSTEM
  ibrav = 0, nat = 4, ntyp = 3
/
ATOMIC_SPECIES
Ag 107.87 Ag.upf
Mg 24.30 Mg.upf
Re 186.21 Re.upf
CELL_PARAMETERS angstrom
3.925 0.000 0.000
0.000 3.925 0.000
-1.962 -1.962 4.287
ATOMIC_POSITIONS angstrom
Ag 0.000 1.962 2.143
Mg 0.000 0.000 0.000
Mg 1.962 0.000 2.143
Re 1.962 1.962 0.000
```


Below is a relaxed Mg2ReAg crystal, with properties calculated at the PBEsol level. Values from VASP.

energy of formation: 0.3010 eV per atom
symmetry: No. 35
excess energy over the best structure of this formula in the dataset: 0 meV/atom
density: 8.4 g/cm3
volume: 16.90 Å³ per atom

Geometry as Quantum ESPRESSO input:
```
&SYSTEM
  ibrav = 0, nat = 4, ntyp = 3
/
ATOMIC_SPECIES
Ag 107.87 Ag.upf
Mg 24.30 Mg.upf
Re 186.21 Re.upf
CELL_PARAMETERS angstrom
2.749 0.028 0.000
-0.766 2.641 0.000
0.000 0.000 9.283
ATOMIC_POSITIONS angstrom
Ag 0.992 1.335 2.358
Mg 0.000 0.000 0.138
Mg 0.992 1.335 6.799
Re 0.000 0.000 4.629
```


Below is a relaxed MgAg2Rh crystal, with properties calculated at the PBEsol level. Values from VASP.

energy of formation: -0.0869 eV per atom
symmetry: No. 99
density: 8.9 g/cm3
volume: 15.91 Å³ per atom

Geometry as Quantum ESPRESSO input:
```
&SYSTEM
  ibrav = 0, nat = 4, ntyp = 3
/
ATOMIC_SPECIES
Ag 107.87 Ag.upf
Mg 24.30 Mg.upf
Rh 102.91 Rh.upf
CELL_PARAMETERS angstrom
3.243 0.000 0.000
0.000 3.243 0.000
0.000 0.000 6.050
ATOMIC_POSITIONS angstrom
Ag 0.000 0.000 6.005
Ag 1.622 1.622 1.506
Mg 0.000 0.000 3.145
Rh 1.622 1.622 4.468
```


Below is a relaxed Mg2AgRh crystal, with properties calculated at the PBEsol level. Values from VASP.

energy of formation: -0.2676 eV per atom
symmetry: No. 8
density: 6.6 g/cm3
volume: 16.32 Å³ per atom

Geometry as Quantum ESPRESSO input:
```
&SYSTEM
  ibrav = 0, nat = 4, ntyp = 3
/
ATOMIC_SPECIES
Mg 24.30 Mg.upf
Rh 102.91 Rh.upf
Ag 107.87 Ag.upf
CELL_PARAMETERS angstrom
3.110 0.000 0.000
0.000 4.527 -0.042
-1.555 -1.481 4.651
ATOMIC_POSITIONS angstrom
Mg 1.555 2.864 4.530
Mg 1.555 0.605 2.462
Rh 1.555 2.042 -0.009
Ag 0.000 2.846 2.214
```


Below is a relaxed Mg3AgRh crystal, with properties calculated at the PBEsol level. Values from VASP.

energy of formation: 0.6176 eV per atom
symmetry: No. 221
density: 4.2 g/cm3
volume: 22.41 Å³ per atom

Geometry as Quantum ESPRESSO input:
```
&SYSTEM
  ibrav = 0, nat = 5, ntyp = 3
/
ATOMIC_SPECIES
Mg 24.30 Mg.upf
Rh 102.91 Rh.upf
Ag 107.87 Ag.upf
CELL_PARAMETERS angstrom
4.821 0.000 0.000
0.000 4.821 0.000
0.000 0.000 4.821
ATOMIC_POSITIONS angstrom
Mg 0.000 2.411 0.000
Mg 0.000 0.000 2.411
Mg 2.411 0.000 0.000
Rh 2.411 2.411 2.411
Ag 0.000 0.000 0.000
```


Below is a relaxed MgAg2Rh crystal, with properties calculated at the PBEsol level. Values from VASP.

energy of formation: -0.0127 eV per atom
symmetry: No. 12
density: 8.9 g/cm3
volume: 16.03 Å³ per atom

Geometry as Quantum ESPRESSO input:
```
&SYSTEM
  ibrav = 0, nat = 4, ntyp = 3
/
ATOMIC_SPECIES
Ag 107.87 Ag.upf
Mg 24.30 Mg.upf
Rh 102.91 Rh.upf
CELL_PARAMETERS angstrom
2.834 0.001 0.000
-0.376 4.793 0.000
-1.229 -2.397 4.720
ATOMIC_POSITIONS angstrom
Ag 0.614 1.198 2.360
Ag -0.614 -1.198 2.360
Mg -0.188 2.396 0.000
Rh 1.417 0.000 0.000
```


Below is a relaxed Mg2AgRh crystal, with properties calculated at the PBEsol level. Values from VASP.

energy of formation: -0.3551 eV per atom
symmetry: No. 123
density: 6.7 g/cm3
volume: 16.08 Å³ per atom

Geometry as Quantum ESPRESSO input:
```
&SYSTEM
  ibrav = 0, nat = 4, ntyp = 3
/
ATOMIC_SPECIES
Mg 24.30 Mg.upf
Rh 102.91 Rh.upf
Ag 107.87 Ag.upf
CELL_PARAMETERS angstrom
-1.553 2.722 0.495
-0.694 0.166 -3.091
-5.395 -3.266 1.036
ATOMIC_POSITIONS angstrom
Mg -4.171 -2.525 0.801
Mg -1.224 -0.741 0.235
Rh -1.124 1.444 -1.298
Ag -3.821 -0.189 -0.780
```


Below is a relaxed MgAg2Rh crystal, with properties calculated at the PBEsol level. Values from VASP.

energy of formation: -0.1394 eV per atom
symmetry: No. 123
density: 9.0 g/cm3
volume: 15.75 Å³ per atom

Geometry as Quantum ESPRESSO input:
```
&SYSTEM
  ibrav = 0, nat = 4, ntyp = 3
/
ATOMIC_SPECIES
Mg 24.30 Mg.upf
Rh 102.91 Rh.upf
Ag 107.87 Ag.upf
CELL_PARAMETERS angstrom
3.893 0.000 0.000
0.000 3.893 0.000
0.000 0.000 4.157
ATOMIC_POSITIONS angstrom
Mg 1.946 1.946 2.078
Rh 0.000 0.000 2.078
Ag 0.000 1.946 0.000
Ag 1.946 0.000 0.000
```


Below is a relaxed MgScAg2Ru crystal, with properties calculated at the PBEsol level. Values from VASP.

energy of formation: 0.7467 eV per atom
symmetry: No. 123
density: 6.5 g/cm3
volume: 19.61 Å³ per atom

Geometry as Quantum ESPRESSO input:
```
&SYSTEM
  ibrav = 0, nat = 5, ntyp = 4
/
ATOMIC_SPECIES
Sc 44.96 Sc.upf
Ru 101.07 Ru.upf
Mg 24.30 Mg.upf
Ag 107.87 Ag.upf
CELL_PARAMETERS angstrom
-2.083 -4.073 0.369
1.064 -0.940 -4.365
4.004 -1.921 1.390
ATOMIC_POSITIONS angstrom
Sc 1.493 -3.467 -1.303
Ru 2.002 -0.961 0.695
Mg 0.000 0.000 0.000
Ag 0.532 -0.470 -2.182
Ag -1.041 -2.037 0.185
```


Below is a relaxed MgAgSb crystal, with properties calculated at the PBEsol level. Values from VASP.

formation energy without anion corrections: -228 meV per atom
symmetry: No. 129
excess energy over the best structure of this formula in the dataset: 27 meV/atom
density: 6.5 g/cm3
volume: 21.72 Å³ per atom

Geometry as Quantum ESPRESSO input:
```
&SYSTEM
  ibrav = 0, nat = 6, ntyp = 3
/
ATOMIC_SPECIES
Sb 121.76 Sb.upf
Mg 24.30 Mg.upf
Ag 107.87 Ag.upf
CELL_PARAMETERS angstrom
-3.264 2.932 -0.189
-2.919 -3.204 0.702
0.509 0.996 6.665
ATOMIC_POSITIONS angstrom
Sb -1.317 -1.324 2.212
Sb -1.265 2.184 4.710
Mg -1.101 -0.900 5.048
Mg -1.481 1.760 1.874
Ag 0.000 0.000 0.000
Ag -3.091 -0.136 0.257
```


Below is a relaxed MgAg2Sb crystal, with properties calculated at the PBEsol level. Values from VASP.

formation energy without anion corrections: -141 meV per atom
symmetry: No. 123
density: 7.8 g/cm3
volume: 19.22 Å³ per atom

Geometry as Quantum ESPRESSO input:
```
&SYSTEM
  ibrav = 0, nat = 4, ntyp = 3
/
ATOMIC_SPECIES
Sb 121.76 Sb.upf
Mg 24.30 Mg.upf
Ag 107.87 Ag.upf
CELL_PARAMETERS angstrom
-0.865 0.050 4.144
2.986 -2.929 0.659
2.911 3.096 0.570
ATOMIC_POSITIONS angstrom
Sb 1.456 1.548 0.285
Mg 2.516 0.109 2.686
Ag 1.493 -1.464 0.329
Ag -0.432 0.025 2.072
```